Computed, not measured: a relaxed structure of DyTc2 at the GGA-PBE level of DFT.

Cell: 7.644 7.644 7.644 Å, 90.00 90.00 90.00°
Space group Fd-3m (No. 227, origin choice 2)
Symmetry-distinct sites (fractional):
Dy: 0.125 0.125 0.125 (multiplicity 8)
Tc: 0.000 0.000 0.500 (multiplicity 16)

Calculated values
Formation enthalpy at 0 K = -0.4 eV per formula unit
E above lowest polymorph = 41 meV/atom